Below is an optimized crystal structure of Tb2CePa, with properties calculated at the GGA-PBE level.

Lattice parameters (Å, degrees): 5.1243 4.7335 4.7335 90.00 90.00 90.00
Last column: nearest neighbours and their distance in Å.
Element x y z (fractional)
Pa (0.5000, 0.5000, 0.5000)  4 Ce 3.35, 8 Tb 3.49
Tb (0.0000, 0.0000, 0.5000)  4 Tb 3.35, 4 Ce 3.49, 4 Pa 3.49
Tb (0.0000, 0.5000, 0.0000)  4 Tb 3.35, 4 Ce 3.49, 4 Pa 3.49
Ce (0.5000, 0.0000, 0.0000)  4 Pa 3.35, 8 Tb 3.49

* calculated volume: 115 Å³/cell
* formation enthalpy at 0 K: 0.226 eV per atom
* SG: No. 123